No. 1
This record from the Alexandria database describes an optimized crystal structure of Zr2TaAs. The functional is PBE-GGA.

E_form in eV/atom: -0.1939
V in Å³ per cell: 80.7
VASP energy in eV/atom: -8.5935

Lattice parameters (Å, degrees): 3.1180 3.1180 8.7637 90.00 90.00 108.68
Closest atoms and distances in Å follow each position.
Fractional coordinates of all 4 atoms:
Zr1 0.0000 0.0000 0.9876  2 Ta 2.94, 6 Zr 3.12-3.14
Zr2 0.5000 0.5000 0.2792  2 As 2.72
Ta1 0.5000 0.5000 0.7236  2 As 2.61
As1 0.0000 0.0000 0.5097  2 Ta 2.61, 2 Zr 2.72

***

No. 2
This record from the Alexandria database describes an optimized crystal structure of Ag3SnCl6F2. The functional is PBE-GGA.

ΔE_f (raw) in eV per formula unit: -9.57
V in Å³ per cell: 282.4
VASP energy in eV/atom: -3.0789

Lattice parameters (Å, degrees): 6.1456 7.2843 7.5858 118.69 106.19 90.00
Closest atoms and distances in Å follow each position.
Fractional coordinates of all 12 atoms:
Cl1 0.2569 0.1316 0.7776  1 Sn 2.48, 1 Ag 2.72
Cl2 0.2569 0.6460 0.7776  1 Sn 2.48, 1 Ag 2.72
Cl3 0.7431 0.3540 0.2224  1 Sn 2.48, 1 Ag 2.72
Cl4 0.2519 0.1157 0.2315  1 Sn 2.49, 2 Ag 2.66
Cl5 0.7431 0.8684 0.2224  1 Sn 2.48, 1 Ag 2.72
Cl6 0.7481 0.8843 0.7685  1 Sn 2.49, 2 Ag 2.66
Sn1 0.5000 0.0000 0.0000  6 Cl 2.48-2.49
F1 0.2721 0.6455 0.2910  1 Ag 2.12
F2 0.7279 0.3545 0.7090  1 Ag 2.12
Ag1 0.5000 0.5000 0.5000  2 F 2.44, 4 Cl 2.66-2.72
Ag2 0.5000 0.0000 0.5000  2 F 2.44, 4 Cl 2.66-2.72
Ag3 0.0000 0.5000 0.0000  2 F 2.12

***

No. 3
This record from the Alexandria database describes an optimized crystal structure of KBaMn2. The functional is PBE-GGA.

E_form in eV/atom: 0.8793
V in Å³ per cell: 174.7
Distance to the lowest polymorph of the same formula in kJ/mol of formula units: 63
VASP energy in eV/atom: -4.4605

Lattice parameters (Å, degrees): 6.2827 6.2827 7.9017 56.69 56.69 44.04
Closest atoms and distances in Å follow each position.
Fractional coordinates of all 4 atoms:
Mn1 0.4937 0.4937 0.6781  2 Mn 2.66
Mn2 0.0063 0.0063 0.8219  2 Mn 2.66
Ba1 0.7500 0.7500 0.7500  6 Mn 3.35-3.47
K1 0.2500 0.2500 0.2500  6 Mn 3.64-3.73

***

No. 4
This record from the Alexandria database describes an optimized crystal structure of NpAg2Pd8. The functional is PBE-GGA.

E_form in eV/atom: -0.1203
V in Å³ per cell: 194.0
VASP energy in eV/atom: -5.5917

Lattice parameters (Å, degrees): 4.0569 8.0541 7.4552 122.69 105.79 90.00
Closest atoms and distances in Å follow each position.
Fractional coordinates of all 11 atoms:
Pd1 0.0000 0.2476 0.0000  2 Ag 2.78, 6 Pd 2.83, 2 Np 2.84
Pd2 0.0000 0.7524 0.0000  2 Ag 2.78, 6 Pd 2.83, 2 Np 2.84
Pd3 0.8306 0.8306 0.6611  8 Pd 2.82-2.84, 2 Np 2.86, 2 Ag 2.87
Pd4 0.3343 0.5869 0.6687  1 Np 2.80, 7 Pd 2.82-2.85, 3 Ag 2.87-2.88
Pd5 0.6657 0.9182 0.3314  1 Np 2.80, 7 Pd 2.82-2.85, 3 Ag 2.87-2.88
Pd6 0.1694 0.1694 0.3389  8 Pd 2.82-2.84, 2 Np 2.86, 2 Ag 2.87
Pd7 0.6657 0.4131 0.3313  1 Np 2.80, 7 Pd 2.82-2.85, 3 Ag 2.87-2.88
Pd8 0.3343 0.0818 0.6686  1 Np 2.80, 7 Pd 2.82-2.85, 3 Ag 2.87-2.88
Np1 0.5000 0.0000 0.0000  12 Pd 2.80-2.86
Ag1 0.8408 0.3408 0.6817  10 Pd 2.78-2.88
Ag2 0.1592 0.6592 0.3183  10 Pd 2.78-2.88

***

No. 5
This record from the Alexandria database describes an optimized crystal structure of KIr. The functional is PBE-GGA.

E_form in eV/atom: 0.5241
V in Å³ per cell: 506.2
Distance to the lowest polymorph of the same formula in kJ/mol of formula units: 31
VASP energy in eV/atom: -4.4551

Lattice parameters (Å, degrees): 10.6601 10.6601 4.4547 90.00 90.00 90.00
Closest atoms and distances in Å follow each position.
Fractional coordinates of all 16 atoms:
Ir1 0.8581 0.5799 0.0000  2 Ir 2.38
Ir2 0.5799 0.1419 0.0000  2 Ir 2.38
Ir3 0.5949 0.0654 0.5000  3 Ir 2.38-2.46
Ir4 0.4201 0.8581 0.0000  2 Ir 2.38
Ir5 0.9346 0.5949 0.5000  3 Ir 2.38-2.46
Ir6 0.1419 0.4201 0.0000  2 Ir 2.38
Ir7 0.0654 0.4051 0.5000  3 Ir 2.38-2.46
Ir8 0.4051 0.9346 0.5000  3 Ir 2.38-2.46
K1 0.6209 0.7033 0.5000  6 Ir 3.37-3.62, 4 K 3.44-3.57
K2 0.7033 0.3791 0.5000  6 Ir 3.37-3.62, 4 K 3.44-3.57
K3 0.1028 0.7714 0.0000  4 Ir 3.31-3.51, 2 K 3.44
K4 0.2967 0.6209 0.5000  6 Ir 3.37-3.62, 4 K 3.44-3.57
K5 0.8972 0.2286 0.0000  4 Ir 3.31-3.51, 2 K 3.44
K6 0.7714 0.8972 0.0000  4 Ir 3.31-3.51, 2 K 3.44
K7 0.2286 0.1028 0.0000  4 Ir 3.31-3.51, 2 K 3.44
K8 0.3791 0.2967 0.5000  6 Ir 3.37-3.62, 4 K 3.44-3.57

***

No. 6
This record from the Alexandria database describes an optimized crystal structure of Ac2Nd2Tm. The functional is PBE-GGA.

E_form in eV/atom: 0.2110
V in Å³ per cell: 385.7
Distance to the lowest polymorph of the same formula in kJ/mol of formula units: 0
VASP energy in eV/atom: -4.2338

Lattice parameters (Å, degrees): 6.6697 6.6697 10.2114 99.44 102.39 114.86
Closest atoms and distances in Å follow each position.
Fractional coordinates of all 10 atoms:
Tm1 0.2502 0.0002 0.7500  4 Nd 3.37-3.38
Tm2 0.7498 0.9998 0.2500  4 Nd 3.37-3.38
Nd1 0.7746 0.2757 0.0000  1 Nd 3.23, 2 Tm 3.37-3.38, 2 Ac 3.55
Nd2 0.2757 0.2746 0.5000  1 Nd 3.23, 2 Tm 3.37-3.38, 2 Ac 3.55
Nd3 0.7243 0.7254 0.5000  1 Nd 3.23, 2 Tm 3.37-3.38, 2 Ac 3.55
Nd4 0.2254 0.7243 0.0000  1 Nd 3.23, 2 Tm 3.37-3.38, 2 Ac 3.55
Ac1 0.6510 0.7010 0.8499  6 Nd 3.55-3.74, 1 Ac 3.93
Ac2 0.1489 0.6989 0.3499  6 Nd 3.55-3.74, 1 Ac 3.93
Ac3 0.8511 0.3011 0.6501  6 Nd 3.55-3.74, 1 Ac 3.93
Ac4 0.3490 0.2990 0.1501  6 Nd 3.55-3.74, 1 Ac 3.93